(1)
A relaxed structure of Na2CdHSe. Source: the Alexandria database, functional PBE.

a b c (Å): 5.8022 3.6634 5.8022
angles (deg): 90.00 90.00 90.00
Sites, in units of the cell vectors:
Cd1 0.5000 0.5000 0.5000
Se1 0.0000 0.0000 0.0000
Na1 0.0000 0.0000 0.5000
Na2 0.5000 0.0000 0.0000
H1 0.0000 0.5000 0.0000

Calculated values
Total energy ... -11.33 eV per formula unit
Calculated density ... 3.2 g cm⁻³


(2)
A relaxed structure of MoCS2Cl. Source: the Alexandria database, functional PBE.

a b c (Å): 4.6543 4.6543 4.8388
angles (deg): 90.00 90.00 90.00
Each line ends with the local moment (μB).
Sites, in units of the cell vectors:
S1 0.5000 0.0000 0.0000  -0.12
S2 0.0000 0.5000 0.0000  -0.12
Mo1 0.0000 0.0000 0.0000  0.68
Cl1 0.0000 0.0000 0.5000  0.04
C1 0.5000 0.5000 0.5000  0.91

Calculated values
Total energy ... -23.73 eV per formula unit
Calculated density ... 3.3 g cm⁻³


(3)
A relaxed structure of HgRu3F. Source: the Alexandria database, functional PBE.

a b c (Å): 5.0900 5.0900 5.0900
angles (deg): 90.00 90.00 90.00
Each line ends with the local moment (μB).
Sites, in units of the cell vectors:
Ru1 0.0000 0.0000 0.5000  2.84
Ru2 0.5000 0.0000 0.0000  1.78
Ru3 0.0000 0.5000 0.0000  2.33
Hg1 0.0000 0.0000 0.0000  0.03
F1 0.5000 0.5000 0.5000  0.12

Calculated values
Total energy ... -18.94 eV per formula unit
Calculated density ... 6.6 g cm⁻³


(4)
A relaxed structure of Ho4GaBi2. Source: the Alexandria database, functional PBE.

a b c (Å): 4.5746 7.7846 12.1477
angles (deg): 90.00 90.00 90.00
Sites, in units of the cell vectors:
Ho1 0.5000 0.2092 0.4429
Ho2 0.5000 0.2908 0.9429
Ho3 0.0000 0.1459 0.7126
Ho4 0.5000 0.7092 0.0571
Ho5 0.0000 0.8541 0.2874
Ho6 0.5000 0.7908 0.5571
Ho7 0.0000 0.6459 0.7874
Ho8 0.0000 0.3541 0.2126
Bi1 0.5000 0.9219 0.8263
Bi2 0.5000 0.5781 0.3263
Bi3 0.5000 0.0781 0.1737
Bi4 0.5000 0.4219 0.6737
Ga1 0.0000 0.5000 0.0000
Ga2 0.0000 0.0000 0.5000

Calculated values
Formation energy from the elements ... -0.590 eV/atom
Total energy ... -33.23 eV per formula unit
Calculated density ... 8.8 g cm⁻³


(5)
A relaxed structure of ZrRuSCl2. Source: the Alexandria database, functional PBE.

a b c (Å): 4.6400 4.6400 4.7346
angles (deg): 90.00 90.00 90.00
Each line ends with the local moment (μB).
Sites, in units of the cell vectors:
S1 0.0000 0.0000 0.5000  0.08
Cl1 0.5000 0.0000 0.0000  0.03
Cl2 0.0000 0.5000 0.0000  0.03
Ru1 0.0000 0.0000 0.0000  0.36
Zr1 0.5000 0.5000 0.5000  -1.14

Calculated values
Total energy ... -24.95 eV per formula unit
Calculated density ... 4.8 g cm⁻³


(6)
A relaxed structure of AlZn2SbC. Source: the Alexandria database, functional PBE.

a b c (Å): 4.4442 4.0285 4.4442
angles (deg): 90.00 90.00 90.00
Sites, in units of the cell vectors:
Zn1 0.5000 0.0000 0.0000
Zn2 0.0000 0.0000 0.5000
Al1 0.0000 0.5000 0.0000
C1 0.0000 0.0000 0.0000
Sb1 0.5000 0.5000 0.5000

Calculated values
Total energy ... -17.37 eV per formula unit
Calculated density ... 6.1 g cm⁻³


(7)
A relaxed structure of Ba2PrI2O2. Source: the Alexandria database, functional PBE.

a b c (Å): 4.7570 4.7570 9.7721
angles (deg): 104.09 104.09 90.00
Each line ends with the local moment (μB).
Sites, in units of the cell vectors:
Pr1 0.0000 0.0000 0.0000  0.07
I1 0.8174 0.8174 0.6348  0.00
I2 0.1826 0.1826 0.3652  0.00
O1 0.5000 0.0000 0.0000  0.00
O2 0.0000 0.5000 0.0000  0.00
Ba1 0.5990 0.5990 0.1980  0.02
Ba2 0.4010 0.4010 0.8020  0.02

Calculated values
Total energy ... -36.62 eV per formula unit
Calculated density ... 5.6 g cm⁻³


(8)
A relaxed structure of Ca3NiSb. Source: the Alexandria database, functional PBE.

a b c (Å): 5.2639 5.2639 5.2639
angles (deg): 90.00 90.00 90.00
Sites, in units of the cell vectors:
Ca1 0.0000 0.5000 0.0000
Ca2 0.0000 0.0000 0.5000
Ca3 0.5000 0.0000 0.0000
Sb1 0.5000 0.5000 0.5000
Ni1 0.0000 0.0000 0.0000

Calculated values
Total energy ... -17.63 eV per formula unit
Calculated density ... 3.4 g cm⁻³


(9)
A relaxed structure of CrPbBr2. Source: the Alexandria database, functional PBE.

a b c (Å): 3.9127 4.4814 7.5687
angles (deg): 72.93 90.00 90.00
Each line ends with the local moment (μB).
Sites, in units of the cell vectors:
Pb1 0.5000 0.7277 0.6699  0.01
Br1 0.0000 0.1049 0.9186  0.03
Br2 0.5000 0.3940 0.3344  0.01
Cr1 0.0000 0.2735 0.5771  3.66

Calculated values
Total energy ... -17.47 eV per formula unit
Calculated density ... 5.5 g cm⁻³


(10)
A relaxed structure of SiSbW2. Source: the Alexandria database, functional PBE.

a b c (Å): 4.6374 4.6374 5.1068
angles (deg): 79.51 79.51 39.97
Sites, in units of the cell vectors:
Si1 0.2500 0.2500 0.2500
W1 0.5171 0.5171 0.4514
W2 0.9829 0.9829 0.0486
Sb1 0.7500 0.7500 0.7500

Calculated values
Total energy ... -33.61 eV per formula unit
Calculated density ... 12.4 g cm⁻³


(11)
A relaxed structure of Na2Hf2NiTe6. Source: the Alexandria database, functional PBE.

a b c (Å): 7.0418 7.0418 8.0997
angles (deg): 98.71 98.71 120.24
Each line ends with the local moment (μB).
Sites, in units of the cell vectors:
Te1 0.7544 0.7544 0.7067  0.07
Te2 0.9224 0.6048 0.2870  0.07
Te3 0.3952 0.0776 0.7130  0.07
Te4 0.0776 0.3952 0.7130  0.07
Te5 0.2456 0.2456 0.2933  0.07
Te6 0.6048 0.9224 0.2870  0.07
Ni1 0.0000 0.0000 0.5000  1.01
Hf1 0.6691 0.3309 0.5000  0.06
Hf2 0.3309 0.6691 0.5000  0.06
Na1 0.8300 0.1700 0.0000  0.00
Na2 0.1700 0.8300 0.0000  0.00

Calculated values
Total energy ... -54.39 eV per formula unit
Calculated density ... 6.2 g cm⁻³


(12)
A relaxed structure of Tl2ZnBTe. Source: the Alexandria database, functional PBE.

a b c (Å): 5.7556 3.9471 5.7556
angles (deg): 90.00 90.00 90.00
Sites, in units of the cell vectors:
Tl1 0.0000 0.0000 0.5000
Tl2 0.5000 0.0000 0.0000
Zn1 0.0000 0.0000 0.0000
B1 0.0000 0.5000 0.0000
Te1 0.5000 0.5000 0.5000

Calculated values
Total energy ... -13.05 eV per formula unit
Calculated density ... 7.8 g cm⁻³